Computed, not measured: an optimized crystal structure of La2AgPt9 at the PBE level of DFT.

Results
formation energy = -0.607 eV/atom

abc: 5.465 5.465 9.442
angles: 73.18 73.18 60.00
Fractional positions:
La1 0.866 0.866 0.403
La2 0.134 0.134 0.597
Ag1 0.000 0.000 0.000
Pt1 0.668 0.668 0.997
Pt2 0.332 0.332 0.003
Pt3 0.500 0.500 0.500
Pt4 0.415 0.415 0.251
Pt5 0.920 0.415 0.251
Pt6 0.415 0.920 0.251
Pt7 0.585 0.585 0.749
Pt8 0.585 0.080 0.749
Pt9 0.080 0.585 0.749